No. 1
This record from the Alexandria database describes crystalline AlC2 at its relaxed geometry. The functional is GGA-PBEsol.

Lattice parameters (Å, degrees): 3.553 3.553 4.698 112.22 112.22 90.00
Atoms (fractional coordinates):
C1 0.844 0.344 0.689
C2 0.406 0.406 0.811
C3 0.594 0.594 0.189
C4 0.656 0.156 0.311
Al1 0.250 0.750 0.500
Al2 0.000 0.000 0.000

Output
Its space-group type is I4_1/amd (141). Its relative energy among the computed polymorphs is 694 meV per atom. The calculation puts the energy of formation from the pure elements at 1.260 eV per atom.


No. 2
This record from the Alexandria database describes crystalline KY2Fe at its relaxed geometry. The functional is GGA-PBEsol.

Lattice parameters (Å, degrees): 3.553 6.343 6.343 59.54 73.74 73.74
Atoms (fractional coordinates):
K1 0.000 0.500 0.500
Y1 0.820 0.180 0.180
Y2 0.180 0.820 0.820
Fe1 0.500 0.000 0.000

Output
Its space-group type is Immm (71). The calculation puts the energy of formation from the pure elements at 0.580 eV per atom.


No. 3
This record from the Alexandria database describes crystalline Rb2NiHgH at its relaxed geometry. The functional is GGA-PBEsol.

Lattice parameters (Å, degrees): 3.214 6.394 6.394 90.00 90.00 90.00
Atoms (fractional coordinates):
Hg1 0.500 0.500 0.500
Rb1 0.000 0.000 0.500
Rb2 0.000 0.500 0.000
H1 0.500 0.000 0.000
Ni1 0.000 0.000 0.000

Output
Its space-group type is P4/mmm (123). As for the total energy: -10.77 eV/cell.


No. 4
This record from the Alexandria database describes crystalline TlReMo2 at its relaxed geometry. The functional is GGA-PBEsol.

Lattice parameters (Å, degrees): 2.883 2.883 9.440 81.22 81.22 60.00
Atoms (fractional coordinates):
Mo1 0.005 0.005 0.984
Mo2 0.752 0.752 0.743
Re1 0.493 0.493 0.520
Tl1 0.249 0.249 0.252

Output
Its space-group type is R3m (160). Its relative energy among the computed polymorphs is 134 meV per atom. The calculation puts the energy of formation from the pure elements at 0.580 eV per atom.


No. 5
This record from the Alexandria database describes crystalline TaIrS2 at its relaxed geometry. The functional is GGA-PBEsol.

Lattice parameters (Å, degrees): 5.411 5.411 6.394 115.03 115.03 90.00
Atoms (fractional coordinates):
Ta1 0.750 0.250 0.500
Ta2 0.500 0.500 0.000
S1 0.887 0.375 0.250
S2 0.363 0.875 0.250
S3 0.625 0.637 0.750
S4 0.125 0.113 0.750
Ir1 0.250 0.750 0.500
Ir2 0.000 0.000 0.000

Output
Its space-group type is I-42d (122). The formation energy (no corrections) comes out at -0.14 eV/atom.


No. 6
This record from the Alexandria database describes crystalline RuC at its relaxed geometry. The functional is GGA-PBEsol.

Lattice parameters (Å, degrees): 4.264 4.264 4.264 90.00 90.00 90.00
Atoms (fractional coordinates):
Ru1 0.028 0.028 0.028
Ru2 0.528 0.472 0.972
Ru3 0.972 0.528 0.472
Ru4 0.472 0.972 0.528
C1 0.514 0.986 0.014
C2 0.986 0.014 0.514
C3 0.014 0.514 0.986
C4 0.486 0.486 0.486

Output
Its space-group type is P2_13 (198). Its relative energy among the computed polymorphs is 244 meV per atom. The calculation puts the energy of formation from the pure elements at 0.794 eV per atom.


The following ρ values (in g cm⁻³) correspond, in order, to the records above: 3.380 3.884 5.450 14.465 9.683 9.692.
The following M_tot values (in μB/atom) correspond, in order, to the records above: 0.00 0.18 0.00 0.00 0.00 0.00.